Below is a geometry-optimized ZnAsPbSe2 structure, with properties calculated at the GGA-PBEsol level.

Computed properties:
Its energy relative to the elements, uncorrected is 87.8 kJ/mol of formula units.

CIF file:
```
data_ZnAsPbSe2
_chemical_formula_sum 'Zn1 As1 Pb1 Se2'
_symmetry_space_group_name_H-M 'P 4/m m m'
_symmetry_Int_Tables_number 123
_symmetry_space_group_name_Hall '-P 4 2'
_cell_length_a 5.004
_cell_length_b 5.004
_cell_length_c 4.670
_cell_angle_alpha 90.00
_cell_angle_beta 90.00
_cell_angle_gamma 90.00
loop_
_atom_site_label
_atom_site_type_symbol
_atom_site_fract_x
_atom_site_fract_y
_atom_site_fract_z
Zn1 Zn 0.000 0.000 0.000
As1 As 0.000 0.000 0.500
Pb1 Pb 0.500 0.500 0.500
Se1 Se 0.000 0.500 0.000
```

Below is a geometry-optimized Co2SiTc structure, with properties calculated at the GGA-PBEsol level.

Computed properties:
Its energy relative to the elements, uncorrected is 102.2 kJ/mol of formula units.

CIF file:
```
data_Co2SiTc
_chemical_formula_sum 'Co8 Si4 Tc4'
_symmetry_space_group_name_H-M 'I -4 2 d'
_symmetry_Int_Tables_number 122
_symmetry_space_group_name_Hall 'I -4 2bw'
_cell_length_a 3.507
_cell_length_b 3.507
_cell_length_c 16.132
_cell_angle_alpha 90.00
_cell_angle_beta 90.00
_cell_angle_gamma 90.00
loop_
_atom_site_label
_atom_site_type_symbol
_atom_site_fract_x
_atom_site_fract_y
_atom_site_fract_z
Co1 Co 0.232 0.250 0.125
Si1 Si 0.000 0.000 0.000
Tc1 Tc 0.000 0.000 0.500
```

Below is a geometry-optimized Mg3NbFe structure, with properties calculated at the GGA-PBEsol level.

Computed properties:
As for the formation energy from the elements: 1068 meV/atom.

CIF file:
```
data_Mg3NbFe
_chemical_formula_sum 'Mg3 Nb1 Fe1'
_symmetry_space_group_name_H-M 'P m -3 m'
_symmetry_Int_Tables_number 221
_symmetry_space_group_name_Hall '-P 4 2 3'
_cell_length_a 4.591
_cell_length_b 4.591
_cell_length_c 4.591
_cell_angle_alpha 90.00
_cell_angle_beta 90.00
_cell_angle_gamma 90.00
loop_
_atom_site_label
_atom_site_type_symbol
_atom_site_fract_x
_atom_site_fract_y
_atom_site_fract_z
Mg1 Mg 0.000 0.000 0.500
Nb1 Nb 0.500 0.500 0.500
Fe1 Fe 0.000 0.000 0.000
```

Below is a geometry-optimized LiZrNi6 structure, with properties calculated at the GGA-PBEsol level.

Computed properties:
As for the formation energy from the elements: -180 meV/atom.

CIF file:
```
data_LiZrNi6
_chemical_formula_sum 'Li8 Zr8 Ni48'
_symmetry_space_group_name_H-M 'C m m m'
_symmetry_Int_Tables_number 65
_symmetry_space_group_name_Hall '-C 2 2'
_cell_length_a 7.112
_cell_length_b 10.203
_cell_length_c 10.195
_cell_angle_alpha 90.00
_cell_angle_beta 90.00
_cell_angle_gamma 90.00
loop_
_atom_site_label
_atom_site_type_symbol
_atom_site_fract_x
_atom_site_fract_y
_atom_site_fract_z
Li1 Li 0.000 0.000 0.243
Li2 Li 0.000 0.259 0.000
Zr1 Zr 0.000 0.256 0.500
Zr2 Zr 0.000 0.500 0.244
Ni1 Ni 0.000 0.000 0.000
Ni2 Ni 0.000 0.000 0.500
Ni3 Ni 0.000 0.247 0.241
Ni4 Ni 0.000 0.500 0.000
Ni5 Ni 0.000 0.500 0.500
Ni6 Ni 0.240 0.122 0.369
Ni7 Ni 0.240 0.129 0.118
```

Below is a geometry-optimized AlCd3Tc structure, with properties calculated at the GGA-PBEsol level.

Computed properties:
As for the formation energy from the elements: 1091 meV/atom.

CIF file:
```
data_AlCd3Tc
_chemical_formula_sum 'Al1 Cd3 Tc1'
_symmetry_space_group_name_H-M 'P m -3 m'
_symmetry_Int_Tables_number 221
_symmetry_space_group_name_Hall '-P 4 2 3'
_cell_length_a 5.131
_cell_length_b 5.131
_cell_length_c 5.131
_cell_angle_alpha 90.00
_cell_angle_beta 90.00
_cell_angle_gamma 90.00
loop_
_atom_site_label
_atom_site_type_symbol
_atom_site_fract_x
_atom_site_fract_y
_atom_site_fract_z
Al1 Al 0.000 0.000 0.000
Cd1 Cd 0.000 0.500 0.500
Tc1 Tc 0.500 0.500 0.500
```

Below is a geometry-optimized TaTc2Se structure, with properties calculated at the GGA-PBEsol level.

Computed properties:
Its energy relative to the elements, uncorrected is 47.9 kJ/mol of formula units.

CIF file:
```
data_TaTc2Se
_chemical_formula_sum 'Ta1 Tc2 Se1'
_symmetry_space_group_name_H-M 'P m m m'
_symmetry_Int_Tables_number 47
_cell_length_a 3.025
_cell_length_b 4.380
_cell_length_c 4.565
_cell_angle_alpha 90.00
_cell_angle_beta 90.00
_cell_angle_gamma 90.00
loop_
_symmetry_equiv_pos_as_xyz
'x,y,z'
'-x,-y,-z'
'-x,-y,z'
'x,y,-z'
'x,-y,-z'
'-x,y,z'
'-x,y,-z'
'x,-y,z'
loop_
_atom_site_label
_atom_site_type_symbol
_atom_site_fract_x
_atom_site_fract_y
_atom_site_fract_z
Ta1 Ta 0.000 0.000 0.000
Tc1 Tc 0.000 0.500 0.500
Tc2 Tc 0.500 0.500 0.000
Se1 Se 0.500 0.000 0.500
```

Below is a geometry-optimized PbAu structure, with properties calculated at the GGA-PBEsol level.

Computed properties:
As for the formation energy from the elements: -19 meV/atom.

CIF file:
```
data_PbAu
_chemical_formula_sum 'Pb6 Au6'
_symmetry_space_group_name_H-M 'C 1 m 1'
_symmetry_Int_Tables_number 8
_cell_length_a 13.318
_cell_length_b 3.917
_cell_length_c 5.875
_cell_angle_alpha 90.00
_cell_angle_beta 112.85
_cell_angle_gamma 90.00
loop_
_symmetry_equiv_pos_as_xyz
'x,y,z'
'x,-y,z'
'x+1/2,y+1/2,z'
'x+1/2,-y+1/2,z'
loop_
_atom_site_label
_atom_site_type_symbol
_atom_site_fract_x
_atom_site_fract_y
_atom_site_fract_z
Pb1 Pb 0.000 0.000 0.000
Pb2 Pb 0.087 0.500 0.591
Pb3 Pb 0.310 0.000 0.048
Au1 Au 0.170 0.500 0.152
Au2 Au 0.252 0.000 0.529
Au3 Au 0.400 0.500 0.475
```

Below is a geometry-optimized Cu2Pt3 structure, with properties calculated at the GGA-PBEsol level.

Computed properties:
As for the formation energy from the elements: -84 meV/atom. The energy above the most stable polymorph in this dataset is 35 meV/atom.

CIF file:
```
data_Cu2Pt3
_chemical_formula_sum 'Cu4 Pt6'
_symmetry_space_group_name_H-M 'P 1'
_symmetry_Int_Tables_number 1
_cell_length_a 4.660
_cell_length_b 5.384
_cell_length_c 6.001
_cell_angle_alpha 76.95
_cell_angle_beta 75.16
_cell_angle_gamma 72.83
loop_
_symmetry_equiv_pos_as_xyz
'x,y,z'
loop_
_atom_site_label
_atom_site_type_symbol
_atom_site_fract_x
_atom_site_fract_y
_atom_site_fract_z
Cu1 Cu 0.000 0.000 0.000
Cu2 Cu 0.004 0.490 0.000
Cu3 Cu 0.396 0.100 0.194
Cu4 Cu 0.804 0.198 0.390
Pt1 Pt 0.197 0.801 0.595
Pt2 Pt 0.204 0.293 0.594
Pt3 Pt 0.402 0.593 0.196
Pt4 Pt 0.600 0.895 0.805
Pt5 Pt 0.605 0.389 0.807
Pt6 Pt 0.801 0.706 0.384
```

Below is a geometry-optimized BaCdPt structure, with properties calculated at the GGA-PBEsol level.

Computed properties:
As for the formation energy from the elements: -495 meV/atom.

CIF file:
```
data_BaCdPt
_chemical_formula_sum 'Ba1 Cd1 Pt1'
_symmetry_space_group_name_H-M 'P -6 m 2'
_symmetry_Int_Tables_number 187
_symmetry_space_group_name_Hall 'P -6 2'
_cell_length_a 4.6924
_cell_length_b 4.6924
_cell_length_c 4.3841
_cell_angle_alpha 90.00
_cell_angle_beta 90.00
_cell_angle_gamma 120.00
loop_
_atom_site_label
_atom_site_type_symbol
_atom_site_fract_x
_atom_site_fract_y
_atom_site_fract_z
Ba1 Ba 0.0000 0.0000 0.0000
Cd1 Cd 0.3333 0.6667 0.5000
Pt1 Pt 0.6667 0.3333 0.5000
```

Below is a geometry-optimized AlBTe2 structure, with properties calculated at the GGA-PBEsol level.

Computed properties:
Its energy relative to the elements, uncorrected is 258.4 kJ/mol of formula units. The energy above the most stable polymorph in this dataset is 245 meV/atom.

CIF file:
```
data_AlBTe2
_chemical_formula_sum 'Al3 B3 Te6'
_symmetry_space_group_name_H-M 'R -3 m'
_symmetry_Int_Tables_number 166
_symmetry_space_group_name_Hall '-R 3 2"'
_cell_length_a 3.3772
_cell_length_b 3.3772
_cell_length_c 26.6364
_cell_angle_alpha 90.00
_cell_angle_beta 90.00
_cell_angle_gamma 120.00
loop_
_atom_site_label
_atom_site_type_symbol
_atom_site_fract_x
_atom_site_fract_y
_atom_site_fract_z
Al1 Al 0.0000 0.0000 0.0000
B1 B 0.0000 0.0000 0.5000
Te1 Te 0.0000 0.0000 0.1111
```

Below is a geometry-optimized Sr2Zn structure, with properties calculated at the GGA-PBEsol level.

Computed properties:
As for the formation energy from the elements: 13 meV/atom.

CIF file:
```
data_Sr2Zn
_chemical_formula_sum 'Sr2 Zn1'
_symmetry_space_group_name_H-M 'P -3 m 1'
_symmetry_Int_Tables_number 164
_symmetry_space_group_name_Hall '-P 3 2"'
_cell_length_a 4.4302
_cell_length_b 4.4302
_cell_length_c 7.2691
_cell_angle_alpha 90.00
_cell_angle_beta 90.00
_cell_angle_gamma 120.00
loop_
_atom_site_label
_atom_site_type_symbol
_atom_site_fract_x
_atom_site_fract_y
_atom_site_fract_z
Sr1 Sr 0.3333 0.6667 0.2565
Zn1 Zn 0.0000 0.0000 0.0000
```

Below is a geometry-optimized Al2TlGaPt structure, with properties calculated at the GGA-PBEsol level.

Computed properties:
As for the formation energy from the elements: 402 meV/atom.

CIF file:
```
data_Al2TlGaPt
_chemical_formula_sum 'Al2 Tl1 Ga1 Pt1'
_symmetry_space_group_name_H-M 'P 4/m m m'
_symmetry_Int_Tables_number 123
_symmetry_space_group_name_Hall '-P 4 2'
_cell_length_a 4.824
_cell_length_b 4.824
_cell_length_c 4.716
_cell_angle_alpha 90.00
_cell_angle_beta 90.00
_cell_angle_gamma 90.00
loop_
_atom_site_label
_atom_site_type_symbol
_atom_site_fract_x
_atom_site_fract_y
_atom_site_fract_z
Al1 Al 0.000 0.500 0.000
Tl1 Tl 0.000 0.000 0.500
Ga1 Ga 0.500 0.500 0.000
Pt1 Pt 0.500 0.500 0.500
```

| no. | DFT total energy (eV for the cell shown) | total moment (Bohr magnetons per cell) |
| --- | --- | --- |
| 1 | -17.5 | 0.0 |
| 2 | -125.7 | 2.1 |
| 3 | -19.6 | 1.0 |
| 4 | -395.5 | 12.4 |
| 5 | -13.5 | 1.0 |
| 6 | -38.4 | 0.0 |
| 7 | -47.8 | 0.0 |
| 8 | -60.0 | 0.0 |
| 9 | -11.8 | 0.0 |
| 10 | -46.4 | 0.0 |
| 11 | -5.2 | 0.0 |
| 12 | -19.1 | 0.0 |